No. 1
Entry from the Alexandria database: a relaxed ErTiAu crystal (GGA-PBE).

a = 7.323 Å, b = 5.810 Å, c = 5.573 Å
α = 80.04°, β = 51.40°, γ = 48.56°
Fractional positions:
Er (0.141, 0.859, 0.141)
Er (0.859, 0.141, 0.859)
Ti (0.250, 0.250, 0.250)
Ti (0.750, 0.750, 0.750)
Au (0.342, 0.342, 0.658)
Au (0.658, 0.658, 0.342)

Summary:
Space-group type: No. 69
Density of states at the Fermi level in states/eV/atom: 0.77
Formation enthalpy at 0 K in eV/atom: 0.013

***

No. 2
Entry from the Alexandria database: a relaxed Er3TlAu2 crystal (GGA-PBE).

a = 3.578 Å, b = 3.578 Å, c = 11.305 Å
α = 90.00°, β = 90.00°, γ = 90.00°
Fractional positions:
Er (0.000, 0.000, 0.000)
Er (0.000, 0.000, 0.314)
Er (0.000, 0.000, 0.686)
Tl (0.500, 0.500, 0.500)
Au (0.500, 0.500, 0.162)
Au (0.500, 0.500, 0.838)

Summary:
Space-group type: No. 123
Density of states at the Fermi level in states/eV/atom: 0.38
Formation enthalpy at 0 K in eV/atom: -0.700

***

No. 3
Entry from the Alexandria database: a relaxed ErTlAu2 crystal (GGA-PBE).

a = 7.631 Å, b = 7.631 Å, c = 7.631 Å
α = 30.61°, β = 30.61°, γ = 30.61°
Fractional positions:
Er (0.000, 0.000, 0.000)
Tl (0.500, 0.500, 0.500)
Au (0.252, 0.252, 0.252)
Au (0.748, 0.748, 0.748)

Summary:
Space-group type: No. 166
Density of states at the Fermi level in states/eV/atom: 0.54
Formation enthalpy at 0 K in eV/atom: -0.442

***

No. 4
Entry from the Alexandria database: a relaxed Er8TlAu2 crystal (GGA-PBE).

a = 8.187 Å, b = 8.187 Å, c = 5.421 Å
α = 99.27°, β = 99.27°, γ = 115.60°
Fractional positions:
Er (0.089, 0.332, 0.595)
Er (0.233, 0.767, 0.000)
Er (0.332, 0.089, 0.595)
Er (0.395, 0.395, 0.197)
Er (0.605, 0.605, 0.803)
Er (0.668, 0.911, 0.405)
Er (0.767, 0.233, 0.000)
Er (0.911, 0.668, 0.405)
Tl (0.000, 0.000, 0.000)
Au (0.303, 0.697, 0.500)
Au (0.697, 0.303, 0.500)

Summary:
Space-group type: No. 12
Density of states at the Fermi level in states/eV/atom: 1.32
Formation enthalpy at 0 K in eV/atom: -0.292

***

No. 5
Entry from the Alexandria database: a relaxed Er4TlAu crystal (GGA-PBE).

a = 7.430 Å, b = 7.102 Å, c = 7.040 Å
α = 90.00°, β = 90.88°, γ = 90.00°
Fractional positions:
Er (0.147, 0.159, 0.166)
Er (0.147, 0.341, 0.666)
Er (0.327, 0.646, 0.137)
Er (0.327, 0.854, 0.637)
Er (0.673, 0.146, 0.363)
Er (0.673, 0.354, 0.863)
Er (0.853, 0.659, 0.334)
Er (0.853, 0.841, 0.834)
Tl (0.500, 0.000, 0.000)
Tl (0.500, 0.500, 0.500)
Au (0.000, 0.000, 0.500)
Au (0.000, 0.500, 0.000)

Summary:
Space-group type: No. 14
Density of states at the Fermi level in states/eV/atom: 0.88
Formation enthalpy at 0 K in eV/atom: -0.208

***

No. 6
Entry from the Alexandria database: a relaxed Er12TlAu6 crystal (GGA-PBE).

a = 8.685 Å, b = 8.685 Å, c = 8.685 Å
α = 109.47°, β = 109.47°, γ = 109.47°
Fractional positions:
Er (0.107, 0.291, 0.816)
Er (0.184, 0.475, 0.291)
Er (0.184, 0.893, 0.709)
Er (0.291, 0.184, 0.475)
Er (0.291, 0.816, 0.107)
Er (0.475, 0.291, 0.184)
Er (0.525, 0.709, 0.816)
Er (0.709, 0.184, 0.893)
Er (0.709, 0.816, 0.525)
Er (0.816, 0.107, 0.291)
Er (0.816, 0.525, 0.709)
Er (0.893, 0.709, 0.184)
Tl (0.000, 0.000, 0.000)
Au (0.139, 0.500, 0.639)
Au (0.361, 0.861, 0.500)
Au (0.500, 0.361, 0.861)
Au (0.500, 0.639, 0.139)
Au (0.639, 0.139, 0.500)
Au (0.861, 0.500, 0.361)

Summary:
Space-group type: No. 204
Relative energy among the computed polymorphs in eV/f.u.: 0.00
Density of states at the Fermi level in states/eV/atom: 0.43
Formation enthalpy at 0 K in eV/atom: -0.556

***

No. 7
Entry from the Alexandria database: a relaxed Er8Tl2Au crystal (GGA-PBE).

a = 9.625 Å, b = 9.625 Å, c = 6.725 Å
α = 99.63°, β = 99.63°, γ = 30.60°
Fractional positions:
Er (0.016, 0.016, 0.265)
Er (0.206, 0.206, 0.817)
Er (0.348, 0.348, 0.511)
Er (0.409, 0.409, 0.034)
Er (0.591, 0.591, 0.966)
Er (0.652, 0.652, 0.489)
Er (0.794, 0.794, 0.183)
Er (0.984, 0.984, 0.735)
Tl (0.187, 0.187, 0.260)
Tl (0.813, 0.813, 0.740)
Au (0.500, 0.500, 0.500)

Summary:
Space-group type: No. 12
Density of states at the Fermi level in states/eV/atom: 0.85
Formation enthalpy at 0 K in eV/atom: -0.246

***

No. 8
Entry from the Alexandria database: a relaxed Er3Tl2Au crystal (GGA-PBE).

a = 3.605 Å, b = 3.605 Å, c = 11.770 Å
α = 90.00°, β = 90.00°, γ = 90.00°
Fractional positions:
Er (0.000, 0.000, 0.000)
Er (0.000, 0.000, 0.353)
Er (0.000, 0.000, 0.647)
Tl (0.500, 0.500, 0.175)
Tl (0.500, 0.500, 0.825)
Au (0.500, 0.500, 0.500)

Summary:
Space-group type: No. 123
Density of states at the Fermi level in states/eV/atom: 0.74
Formation enthalpy at 0 K in eV/atom: -0.507

***

No. 9
Entry from the Alexandria database: a relaxed Er2TlAu crystal (GGA-PBE).

a = 3.914 Å, b = 3.914 Å, c = 8.698 Å
α = 103.00°, β = 103.00°, γ = 59.78°
Fractional positions:
Er (0.000, 0.000, 0.000)
Er (0.190, 0.190, 0.567)
Tl (0.763, 0.763, 0.284)
Au (0.595, 0.595, 0.784)

Summary:
Space-group type: No. 8
Density of states at the Fermi level in states/eV/atom: 0.89
Formation enthalpy at 0 K in eV/atom: -0.447

***

No. 10
Entry from the Alexandria database: a relaxed ErTlAu2 crystal (GGA-PBE).

a = 4.819 Å, b = 4.819 Å, c = 3.869 Å
α = 90.00°, β = 90.00°, γ = 90.00°
Fractional positions:
Er (0.000, 0.000, 0.000)
Tl (0.500, 0.500, 0.000)
Au (0.000, 0.500, 0.500)
Au (0.500, 0.000, 0.500)

Summary:
Space-group type: No. 123
Density of states at the Fermi level in states/eV/atom: 0.63
Formation enthalpy at 0 K in eV/atom: -0.450

***

No. 11
Entry from the Alexandria database: a relaxed Er2TlAu crystal (GGA-PBE).

a = 3.597 Å, b = 3.597 Å, c = 7.643 Å
α = 90.00°, β = 90.00°, γ = 90.00°
Fractional positions:
Er (0.000, 0.000, 0.229)
Er (0.000, 0.000, 0.771)
Tl (0.500, 0.500, 0.500)
Au (0.500, 0.500, 0.000)

Summary:
Space-group type: No. 123
Density of states at the Fermi level in states/eV/atom: 0.64
Formation enthalpy at 0 K in eV/atom: -0.607

***

No. 12
Entry from the Alexandria database: a relaxed Er2TlAu crystal (GGA-PBE).

a = 8.858 Å, b = 8.858 Å, c = 8.858 Å
α = 25.03°, β = 25.03°, γ = 25.03°
Fractional positions:
Er (0.240, 0.240, 0.240)
Er (0.760, 0.760, 0.760)
Tl (0.000, 0.000, 0.000)
Au (0.500, 0.500, 0.500)

Summary:
Space-group type: No. 166
Density of states at the Fermi level in states/eV/atom: 0.96
Formation enthalpy at 0 K in eV/atom: -0.477

***

No. 13
Entry from the Alexandria database: a relaxed ErTlAu2 crystal (GGA-PBE).

a = 3.696 Å, b = 3.696 Å, c = 6.733 Å
α = 90.00°, β = 90.00°, γ = 90.00°
Fractional positions:
Er (0.000, 0.000, 0.000)
Tl (0.000, 0.000, 0.500)
Au (0.500, 0.500, 0.223)
Au (0.500, 0.500, 0.777)

Summary:
Space-group type: No. 123
Density of states at the Fermi level in states/eV/atom: 0.41
Formation enthalpy at 0 K in eV/atom: -0.535

***

No. 14
Entry from the Alexandria database: a relaxed Er6Tl2Au crystal (GGA-PBE).

a = 6.163 Å, b = 8.584 Å, c = 11.217 Å
α = 90.00°, β = 119.90°, γ = 90.00°
Fractional positions:
Er (0.057, 0.172, 0.442)
Er (0.057, 0.328, 0.942)
Er (0.345, 0.682, 0.444)
Er (0.345, 0.818, 0.944)
Er (0.396, 0.030, 0.282)
Er (0.396, 0.470, 0.782)
Er (0.604, 0.530, 0.218)
Er (0.604, 0.970, 0.718)
Er (0.655, 0.182, 0.056)
Er (0.655, 0.318, 0.556)
Er (0.943, 0.672, 0.058)
Er (0.943, 0.828, 0.558)
Tl (0.173, 0.126, 0.751)
Tl (0.173, 0.374, 0.251)
Tl (0.827, 0.626, 0.749)
Tl (0.827, 0.874, 0.249)
Au (0.000, 0.000, 0.000)
Au (0.000, 0.500, 0.500)

Summary:
Space-group type: No. 14
Density of states at the Fermi level in states/eV/atom: 1.25
Formation enthalpy at 0 K in eV/atom: -0.258

***

No. 15
Entry from the Alexandria database: a relaxed Er3Tl2Au2 crystal (GGA-PBE).

a = 11.284 Å, b = 11.284 Å, c = 3.502 Å
α = 90.00°, β = 90.00°, γ = 157.21°
Fractional positions:
Er (0.000, 0.000, 0.000)
Er (0.168, 0.832, 0.000)
Er (0.832, 0.168, 0.000)
Tl (0.422, 0.578, 0.500)
Tl (0.578, 0.422, 0.500)
Au (0.288, 0.712, 0.500)
Au (0.712, 0.288, 0.500)

Summary:
Space-group type: No. 65
Density of states at the Fermi level in states/eV/atom: 0.73
Formation enthalpy at 0 K in eV/atom: -0.551

***

No. 16
Entry from the Alexandria database: a relaxed Er3TlAu crystal (GGA-PBE).

a = 8.029 Å, b = 8.029 Å, c = 11.064 Å
α = 92.76°, β = 92.76°, γ = 49.99°
Fractional positions:
Er (0.151, 0.741, 0.919)
Er (0.153, 0.216, 0.330)
Er (0.216, 0.153, 0.830)
Er (0.259, 0.849, 0.581)
Er (0.348, 0.420, 0.169)
Er (0.420, 0.348, 0.669)
Er (0.580, 0.652, 0.331)
Er (0.652, 0.580, 0.831)
Er (0.741, 0.151, 0.419)
Er (0.784, 0.847, 0.170)
Er (0.847, 0.784, 0.670)
Er (0.849, 0.259, 0.081)
Tl (0.138, 0.599, 0.426)
Tl (0.401, 0.862, 0.074)
Tl (0.599, 0.138, 0.926)
Tl (0.862, 0.401, 0.574)
Au (0.000, 0.500, 0.000)
Au (0.103, 0.897, 0.250)
Au (0.500, 0.000, 0.500)
Au (0.897, 0.103, 0.750)

Summary:
Space-group type: No. 15
Density of states at the Fermi level in states/eV/atom: 0.84
Formation enthalpy at 0 K in eV/atom: -0.369

***

No. 17
Entry from the Alexandria database: a relaxed Er12TlAu6 crystal (GGA-PBE).

a = 8.510 Å, b = 8.510 Å, c = 8.510 Å
α = 101.57°, β = 101.57°, γ = 101.57°
Fractional positions:
Er (0.064, 0.918, 0.330)
Er (0.082, 0.670, 0.936)
Er (0.178, 0.427, 0.571)
Er (0.330, 0.064, 0.918)
Er (0.427, 0.571, 0.178)
Er (0.429, 0.822, 0.573)
Er (0.571, 0.178, 0.427)
Er (0.573, 0.429, 0.822)
Er (0.670, 0.936, 0.082)
Er (0.822, 0.573, 0.429)
Er (0.918, 0.330, 0.064)
Er (0.936, 0.082, 0.670)
Tl (0.000, 0.000, 0.000)
Au (0.139, 0.608, 0.306)
Au (0.306, 0.139, 0.608)
Au (0.392, 0.694, 0.861)
Au (0.608, 0.306, 0.139)
Au (0.694, 0.861, 0.392)
Au (0.861, 0.392, 0.694)

Summary:
Space-group type: No. 148
Relative energy among the computed polymorphs in eV/f.u.: 3.05
Density of states at the Fermi level in states/eV/atom: 1.03
Formation enthalpy at 0 K in eV/atom: -0.395

***

No. 18
Entry from the Alexandria database: a relaxed ErTlAu4 crystal (GGA-PBE).

a = 5.636 Å, b = 5.636 Å, c = 5.636 Å
α = 60.00°, β = 60.00°, γ = 60.00°
Fractional positions:
Er (0.000, 0.000, 0.000)
Tl (0.250, 0.250, 0.250)
Au (0.125, 0.625, 0.625)
Au (0.625, 0.125, 0.625)
Au (0.625, 0.625, 0.125)
Au (0.625, 0.625, 0.625)

Summary:
Space-group type: No. 216
Density of states at the Fermi level in states/eV/atom: 0.26
Formation enthalpy at 0 K in eV/atom: -0.356

***

No. 19
Entry from the Alexandria database: a relaxed Er12Tl5Au2 crystal (GGA-PBE).

a = 9.261 Å, b = 9.261 Å, c = 8.911 Å
α = 95.37°, β = 95.37°, γ = 45.86°
Fractional positions:
Er (0.002, 0.002, 0.198)
Er (0.093, 0.608, 0.988)
Er (0.101, 0.586, 0.575)
Er (0.392, 0.907, 0.012)
Er (0.414, 0.899, 0.425)
Er (0.458, 0.458, 0.316)
Er (0.542, 0.542, 0.684)
Er (0.586, 0.101, 0.575)
Er (0.608, 0.093, 0.988)
Er (0.899, 0.414, 0.425)
Er (0.907, 0.392, 0.012)
Er (0.998, 0.998, 0.802)
Tl (0.205, 0.205, 0.739)
Tl (0.271, 0.271, 0.249)
Tl (0.500, 0.500, 0.000)
Tl (0.729, 0.729, 0.751)
Tl (0.795, 0.795, 0.261)
Au (0.189, 0.811, 0.500)
Au (0.811, 0.189, 0.500)

Summary:
Space-group type: No. 12
Density of states at the Fermi level in states/eV/atom: 1.05
Formation enthalpy at 0 K in eV/atom: -0.249

***

No. 20
Entry from the Alexandria database: a relaxed Er7Tl4Au crystal (GGA-PBE).

a = 7.962 Å, b = 7.962 Å, c = 11.153 Å
α = 125.52°, β = 125.52°, γ = 40.02°
Fractional positions:
Er (0.000, 0.000, 0.000)
Er (0.151, 0.151, 0.581)
Er (0.284, 0.284, 0.133)
Er (0.427, 0.427, 0.693)
Er (0.573, 0.573, 0.307)
Er (0.716, 0.716, 0.867)
Er (0.849, 0.849, 0.419)
Tl (0.074, 0.074, 0.780)
Tl (0.215, 0.215, 0.343)
Tl (0.785, 0.785, 0.657)
Tl (0.926, 0.926, 0.220)
Au (0.500, 0.500, 0.000)

Summary:
Space-group type: No. 12
Density of states at the Fermi level in states/eV/atom: 0.92
Formation enthalpy at 0 K in eV/atom: -0.135